# 1
VASP calculation (PBE) on crystalline BiIrRu at its relaxed geometry. Values from VASP.

Structure (Quantum ESPRESSO input):
```
&SYSTEM
  ibrav = 0, nat = 6, ntyp = 3
/
ATOMIC_SPECIES
Ru 101.07 Ru.upf
Ir 192.22 Ir.upf
Bi 208.98 Bi.upf
ATOMIC_POSITIONS crystal
Ru 0.111 0.223 0.853
Ru 0.111 0.223 0.147
Ir 0.444 0.888 0.500
Ir 0.445 0.890 0.000
Bi 0.778 0.555 0.325
Bi 0.778 0.555 0.675
CELL_PARAMETERS angstrom
3.131 0.000 0.000
-1.566 2.710 0.000
0.000 0.000 13.028
```

Properties
VASP energy (Ry per atom): -0.490
Energy of formation from the pure elements (eV per atom): 0.68
Density of states at the Fermi level (states/eV/atom): 1.28
Symmetry: P-6m2, No. 187

# 2
VASP calculation (PBE) on crystalline Cd3Au4 at its relaxed geometry. Values from VASP.

Structure (Quantum ESPRESSO input):
```
&SYSTEM
  ibrav = 0, nat = 7, ntyp = 2
/
ATOMIC_SPECIES
Au 196.97 Au.upf
Cd 112.41 Cd.upf
ATOMIC_POSITIONS crystal
Au 0.572 0.072 0.144
Au 0.285 0.785 0.571
Au 0.715 0.215 0.429
Au 0.428 0.928 0.856
Cd 0.000 0.500 0.000
Cd 0.145 0.645 0.291
Cd 0.855 0.355 0.709
CELL_PARAMETERS angstrom
0.127 -0.749 -3.173
-2.606 -2.752 0.545
-6.652 8.829 -0.673
```

Properties
VASP energy (Ry per atom): -0.178
Energy of formation from the pure elements (eV per atom): -0.16
Density of states at the Fermi level (states/eV/atom): 0.19
Symmetry: Immm, No. 71
Excess energy over the best structure of this formula in the dataset (meV per atom): 0.0